The following is a PBE calculation of Au2SeO6 after structural relaxation, from Alexandria.

Computed properties:
For the formation energy without anion corrections, the calculation gives -101 kJ/mol of formula units. As for the final energy: -4.54 eV per atom. Its space-group type is P2_1/c, No. 14.

Structure (POSCAR):
```
Au2SeO6
1.0
-2.184 4.540 -1.411
0.746 -1.204 -5.028
-7.236 -5.279 0.190
Au Se O
4 2 12
Direct
0.999 0.618 0.818
0.501 0.118 0.682
0.499 0.882 0.318
0.001 0.382 0.182
0.500 0.500 0.000
0.000 0.000 0.500
0.139 0.058 0.299
0.153 0.282 0.591
0.209 0.323 0.926
0.291 0.823 0.574
0.347 0.782 0.909
0.361 0.558 0.201
0.861 0.942 0.701
0.847 0.718 0.409
0.791 0.677 0.074
0.709 0.177 0.426
0.653 0.218 0.091
0.639 0.442 0.799
```